Entry from Alexandria via LeMat-Bulk: a relaxed structure of Co3B2O6 (PBE+U).

a b c (Å): 4.5679 5.5256 8.4901
angles (deg): 90.00 90.00 90.00
Space group Pnnm (No. 58)
Asymmetric unit:
Co: 0.0000 0.0000 0.0000 [2 per cell]
Co: 0.0000 0.5000 0.1844 [4 per cell]
B: 0.0392 0.2468 0.5000 [4 per cell]
O: 0.1943 0.2949 0.3612 [8 per cell]
O: 0.2461 0.3196 0.0000 [4 per cell]

Output
Uncorrected energy = -6.9811 eV per atom